Record 1
Here is a relaxed TmAlZn3Cu crystal from Alexandria. Energies are from PBE-GGA.

Values from the calculation:
Spin magnetization = 0.00 μB/atom
Symmetry = No. 63
Formation enthalpy at 0 K = -0.025 eV per atom

Lattice parameters (Å, degrees): 5.5136 6.2626 7.0263 116.47 90.00 90.00
Fractional positions:
Zn (0.2500, 0.1458, 0.2916)
Zn (0.5000, 0.6942, 0.0000)
Zn (0.5000, 0.3058, 0.0000)
Zn (0.0000, 0.3058, 0.0000)
Zn (0.7500, 0.8542, 0.7084)
Zn (0.0000, 0.6942, 0.0000)
Tm (0.2500, 0.6991, 0.3982)
Tm (0.7500, 0.3009, 0.6018)
Cu (0.7500, 0.6498, 0.2997)
Cu (0.2500, 0.3502, 0.7003)
Al (0.7500, 0.0751, 0.1502)
Al (0.2500, 0.9249, 0.8498)

---

Record 2
Here is a relaxed TmAlZnCu6 crystal from Alexandria. Energies are from PBE-GGA.

Values from the calculation:
Spin magnetization = 0.00 μB/atom
Symmetry = No. 74
Formation enthalpy at 0 K = 0.088 eV per atom

Lattice parameters (Å, degrees): 6.8030 8.6362 7.3105 126.20 117.73 90.00
Fractional positions:
Cu (0.0542, 0.3784, 0.7446)
Cu (0.3096, 0.1338, 0.2554)
Cu (0.9458, 0.1338, 0.2554)
Cu (0.6904, 0.8662, 0.7446)
Cu (0.0542, 0.8662, 0.7446)
Cu (0.6904, 0.3784, 0.7446)
Cu (0.5802, 0.8302, 0.1604)
Cu (0.4198, 0.1698, 0.8396)
Cu (0.9458, 0.6216, 0.2554)
Cu (0.3096, 0.6216, 0.2554)
Cu (0.9800, 0.2300, 0.9600)
Cu (0.0200, 0.7700, 0.0400)
Tm (0.7135, 0.4635, 0.4270)
Tm (0.2865, 0.5365, 0.5730)
Al (0.0000, 0.0000, 0.5000)
Al (0.5000, 0.0000, 0.5000)
Zn (0.5000, 0.5000, 0.0000)
Zn (0.5000, 0.0000, 0.0000)

---

Record 3
Here is a relaxed Tm2AlZn12Cu3 crystal from Alexandria. Energies are from PBE-GGA.

Values from the calculation:
Spin magnetization = 0.00 μB/atom
Symmetry = No. 166
Formation enthalpy at 0 K = 0.003 eV per atom

Lattice parameters (Å, degrees): 6.7235 6.7235 6.7235 85.57 85.57 85.57
Fractional positions:
Zn (0.1992, 0.7123, 0.1992)
Zn (0.7123, 0.1992, 0.1992)
Zn (0.1992, 0.1992, 0.7123)
Zn (0.5725, 0.1516, 0.5725)
Zn (0.8484, 0.4275, 0.4275)
Zn (0.8008, 0.8008, 0.2877)
Zn (0.4275, 0.4275, 0.8484)
Zn (0.1516, 0.5725, 0.5725)
Zn (0.2877, 0.8008, 0.8008)
Zn (0.4275, 0.8484, 0.4275)
Zn (0.5725, 0.5725, 0.1516)
Zn (0.8008, 0.2877, 0.8008)
Cu (0.0000, 0.0000, 0.5000)
Cu (0.0000, 0.5000, 0.0000)
Cu (0.5000, 0.0000, 0.0000)
Tm (0.7453, 0.7453, 0.7453)
Tm (0.2547, 0.2547, 0.2547)
Al (0.0000, 0.0000, 0.0000)

---

Record 4
Here is a relaxed Tm2Al4ZnCu3 crystal from Alexandria. Energies are from PBE-GGA.

Values from the calculation:
Spin magnetization = 0.00 μB/atom
Symmetry = No. 115
Formation enthalpy at 0 K = -0.382 eV per atom

Lattice parameters (Å, degrees): 4.0996 4.0996 10.3147 90.00 90.00 90.00
Fractional positions:
Cu (0.5000, 0.0000, 0.8671)
Cu (0.0000, 0.5000, 0.1329)
Cu (0.0000, 0.0000, 0.5000)
Tm (0.0000, 0.5000, 0.7517)
Tm (0.5000, 0.0000, 0.2483)
Al (0.5000, 0.5000, 0.0000)
Al (0.5000, 0.0000, 0.6385)
Al (0.0000, 0.5000, 0.3615)
Al (0.0000, 0.0000, 0.0000)
Zn (0.5000, 0.5000, 0.5000)

---

Record 5
Here is a relaxed UAl6Cu12 crystal from Alexandria. Energies are from PBE-GGA.

Values from the calculation:
Spin magnetization = 0.15 μB/atom
Symmetry = No. 166
Formation enthalpy at 0 K = 0.004 eV per atom

Lattice parameters (Å, degrees): 6.8165 6.8165 6.8165 104.04 104.04 104.04
Fractional positions:
Al (0.7170, 0.2976, 0.7170)
Al (0.2976, 0.7170, 0.7170)
Al (0.7024, 0.2830, 0.2830)
Al (0.2830, 0.2830, 0.7024)
Al (0.7170, 0.7170, 0.2976)
Al (0.2830, 0.7024, 0.2830)
Cu (0.3762, 0.1235, 0.3762)
Cu (0.6238, 0.6238, 0.8765)
Cu (0.8888, 0.5000, 0.1112)
Cu (0.5000, 0.1112, 0.8888)
Cu (0.8765, 0.6238, 0.6238)
Cu (0.3762, 0.3762, 0.1235)
Cu (0.5000, 0.8888, 0.1112)
Cu (0.1112, 0.8888, 0.5000)
Cu (0.1235, 0.3762, 0.3762)
Cu (0.1112, 0.5000, 0.8888)
Cu (0.6238, 0.8765, 0.6238)
Cu (0.8888, 0.1112, 0.5000)
U (0.0000, 0.0000, 0.0000)

---

Record 6
Here is a relaxed UAlCu crystal from Alexandria. Energies are from PBE-GGA.

Values from the calculation:
Spin magnetization = 0.48 μB/atom
Symmetry = No. 107
Formation enthalpy at 0 K = -0.068 eV per atom

Lattice parameters (Å, degrees): 2.7976 2.7976 6.5972 102.24 102.24 90.00
Fractional positions:
Cu (0.6847, 0.6847, 0.3694)
U (0.0028, 0.0028, 0.0057)
Al (0.3125, 0.3125, 0.6250)